No. 1
The following is a DFT calculation (PBE) of SrLaIn after structural relaxation.

Computed properties:
Fermi-level density of states (states/eV/cell): 1.4
Calculated volume (A^3/atom): 35.3
Size of the total moment (μB per formula unit): 0.000
Energy (eV/atom): -3.42
Energy relative to the elements (eV per atom): -0.309

Structure (CIF):
```
data_SrLaIn
_cell_length_a 5.6832
_cell_length_b 5.6832
_cell_length_c 7.5791
_cell_angle_alpha 90.00
_cell_angle_beta 90.00
_cell_angle_gamma 120.00
_space_group_name_H-M_alt 'P 3 m 1'
_space_group_IT_number 156
_space_group_name_Hall 'P 3 -2"'
loop_
_atom_site_label
_atom_site_fract_x
_atom_site_fract_y
_atom_site_fract_z
_atom_site_occupancy
Sr1 0.0000 0.0000 0.0000 1
Sr2 0.3333 0.6667 0.2445 1
La1 0.3333 0.6667 0.7412 1
La2 0.6667 0.3333 0.5080 1
In1 0.0000 0.0000 0.5014 1
In2 0.6667 0.3333 0.9679 1
```

No. 2
The following is a DFT calculation (PBE) of SrLaIn2 after structural relaxation.

Computed properties:
Fermi-level density of states (states/eV/cell): 13.8
Calculated volume (A^3/atom): 34.8
Size of the total moment (μB per formula unit): 0.002
Energy (eV/atom): -3.27
Energy relative to the elements (eV per atom): -0.247

Structure (CIF):
```
data_SrLaIn2
_cell_length_a 3.9133
_cell_length_b 3.9133
_cell_length_c 31.4667
_cell_angle_alpha 90.00
_cell_angle_beta 90.00
_cell_angle_gamma 120.00
_space_group_name_H-M_alt 'R -3 m'
_space_group_IT_number 166
_space_group_name_Hall '-R 3 2"'
loop_
_atom_site_label
_atom_site_fract_x
_atom_site_fract_y
_atom_site_fract_z
_atom_site_occupancy
Sr1 0.0000 0.0000 0.0000 1
La1 0.0000 0.0000 0.5000 1
In1 0.0000 0.0000 0.2489 1
```

No. 3
The following is a DFT calculation (PBE) of SrLaIn after structural relaxation.

Computed properties:
Fermi-level density of states (states/eV/cell): 13.0
Calculated volume (A^3/atom): 36.6
Size of the total moment (μB per formula unit): 0.000
Energy (eV/atom): -3.38
Energy relative to the elements (eV per atom): -0.261

Structure (CIF):
```
data_SrLaIn
_cell_length_a 19.4018
_cell_length_b 3.8742
_cell_length_c 5.8763
_cell_angle_alpha 90.00
_cell_angle_beta 95.60
_cell_angle_gamma 90.00
_space_group_name_H-M_alt 'C 1 2/m 1'
_space_group_IT_number 12
_space_group_name_Hall '-C 2y'
loop_
_atom_site_label
_atom_site_fract_x
_atom_site_fract_y
_atom_site_fract_z
_atom_site_occupancy
Sr1 0.2080 0.0000 0.2339 1
La1 0.0762 0.0000 0.6926 1
In1 0.0618 0.5000 0.1836 1
```

Q: Which of these has the lowest energy?
A: number 1